[1]
# KTe2Br

Crystalline KTe2Br at its relaxed geometry (PBE-GGA, Alexandria).

The structure belongs to space group Pm (No. 6); the cell edges are 4.303, 4.704 and 9.200 Å and the angles 90.00°, 90.64° and 90.00°. Symmetry generates all atoms from K at (0.000, 0.000, 0.000), Te at (0.512, 0.000, 0.370), Te at (0.515, 0.500, 0.533) and Br at (0.500, 0.500, 0.996).

The distance to the lowest polymorph of the same formula is 0.041 eV per atom.


[2]
# KTe2Br

Crystalline KTe2Br at its relaxed geometry (PBE-GGA, Alexandria).

The structure belongs to space group Cm (No. 8); the cell edges are 6.094, 6.008 and 8.850 Å and the angles 90.00°, 96.82° and 90.00°. Symmetry generates all atoms from K at (0.000, 0.000, 0.000), Te at (0.194, 0.000, 0.435), Te at (0.269, 0.500, 0.532) and Br at (0.485, 0.000, 0.912).

The distance to the lowest polymorph of the same formula is 0.000 eV per atom.


[3]
# K3TeBr

Crystalline K3TeBr at its relaxed geometry (PBE-GGA, Alexandria).

The structure belongs to space group Pm-3m (No. 221); the cell edges are 6.046, 6.046 and 6.046 Å and the angles 90.00°, 90.00° and 90.00°. Symmetry generates all atoms from K at (0.000, 0.000, 0.500), Te at (0.500, 0.500, 0.500) and Br at (0.000, 0.000, 0.000).

The distance to the lowest polymorph of the same formula is 0.157 eV per atom.


[4]
# K4TeBr2

Crystalline K4TeBr2 at its relaxed geometry (PBE-GGA, Alexandria).

The structure belongs to space group I4/mmm (No. 139); the cell edges are 6.525, 6.525 and 17.622 Å and the angles 90.00°, 90.00° and 90.00°. Symmetry generates all atoms from K at (0.000, 0.000, 0.186), K at (0.000, 0.500, 0.000), Te at (0.000, 0.000, 0.000) and Br at (0.000, 0.000, 0.363).


[5]
# K2TeBr4

Crystalline K2TeBr4 at its relaxed geometry (PBE-GGA, Alexandria).

The structure belongs to space group I4/mmm (No. 139); the cell edges are 7.824, 7.824 and 8.766 Å and the angles 90.00°, 90.00° and 90.00°. Symmetry generates all atoms from K at (0.000, 0.500, 0.250), Te at (0.000, 0.000, 0.000) and Br at (0.249, 0.249, 0.500).

The distance to the lowest polymorph of the same formula is 0.000 eV per atom.


[6]
# K10Te4Br

Crystalline K10Te4Br at its relaxed geometry (PBE-GGA, Alexandria).

The structure belongs to space group R-3m (No. 166, hexagonal axes); the cell edges are 5.8361, 5.8361 and 71.6548 Å and the angles 90.00°, 90.00° and 120.00°. Symmetry generates all atoms from K at (0.0000, 0.0000, 0.0493), K at (0.0000, 0.0000, 0.1486), K at (0.0000, 0.0000, 0.2508), K at (0.0000, 0.0000, 0.3499), K at (0.0000, 0.0000, 0.4482), Te at (0.0000, 0.0000, 0.0994), Te at (0.0000, 0.0000, 0.3003) and Br at (0.0000, 0.0000, 0.5000).


[7]
# KTe2Br2

Crystalline KTe2Br2 at its relaxed geometry (PBE-GGA, Alexandria).

The structure belongs to space group I4/mmm (No. 139); the cell edges are 4.271, 4.271 and 19.122 Å and the angles 90.00°, 90.00° and 90.00°. Symmetry generates all atoms from K at (0.000, 0.000, 0.000), Te at (0.000, 0.500, 0.250) and Br at (0.000, 0.000, 0.415).

The distance to the lowest polymorph of the same formula is 0.000 eV per atom.


[8]
# K7TeBr5

Crystalline K7TeBr5 at its relaxed geometry (PBE-GGA, Alexandria).

The structure belongs to space group Cmcm (No. 63); the cell edges are 4.821, 15.654 and 27.395 Å and the angles 90.00°, 90.00° and 90.00°. Symmetry generates all atoms from K at (0.000, 0.058, 0.250), K at (0.000, 0.133, 0.536), K at (0.000, 0.313, 0.179), K at (0.000, 0.403, 0.614), Te at (0.000, 0.293, 0.750), Br at (0.000, 0.042, 0.646), Br at (0.000, 0.227, 0.072) and Br at (0.000, 0.500, 0.000).


Number 1: electronic total energy -2.941 eV per atom. Number 2: electronic total energy -2.982 eV per atom. Number 3: electronic total energy -2.732 eV per atom. Number 4: electronic total energy -2.786 eV per atom. Number 5: electronic total energy -2.836 eV per atom. Number 6: electronic total energy -2.694 eV per atom. Number 7: electronic total energy -2.678 eV per atom. Number 8: electronic total energy -3.034 eV per atom.